First-principles (PBE-GGA) data for an optimized crystal structure of BeReN2F, as listed in Alexandria.

Unit cell a=3.767 b=3.767 c=2.962 alpha=90.00 beta=90.00 gamma=90.00
Sites, in units of the cell vectors:
Be  0.000  0.000  0.000
Re  0.500  0.500  0.500
N  0.000  0.500  0.000
N  0.500  0.000  0.000
F  0.000  0.000  0.500

Results
- Symmetry: P4/mmm
- Offset from the most stable computed form: 0 meV per atom
- Total moment: 1.4 μB/cell
- Formation energy without anion corrections: 402 meV per atom
- DOS(E_F): 2.0 states/eV per cell